one) Entry from the Alexandria database: a geometry-optimized ZnCu2Te2 structure (GGA-PBE).

a b c (Å): 3.813 3.813 7.937
angles (deg): 76.10 76.10 90.00
Fractional positions:
Zn 0.000 0.000 0.000
Te 0.373 0.373 0.254
Te 0.627 0.627 0.746
Cu 0.750 0.250 0.500
Cu 0.250 0.750 0.500

Results
density	6.85	g/cm³
volume	108.6	Å³/cell
total magnetic moment	0.00	μB/f.u.
crystal system	tetragonal


two) Entry from the Alexandria database: a geometry-optimized ZnCu2Te2 structure (GGA-PBE).

a b c (Å): 7.209 7.209 3.763
angles (deg): 90.00 90.00 90.00
Fractional positions:
Zn 0.000 0.000 0.000
Zn 0.500 0.500 0.000
Te 0.181 0.681 0.500
Te 0.681 0.819 0.500
Te 0.819 0.319 0.500
Te 0.319 0.181 0.500
Cu 0.377 0.877 0.000
Cu 0.877 0.623 0.000
Cu 0.623 0.123 0.000
Cu 0.123 0.377 0.000

Results
density	7.60	g/cm³
volume	195.6	Å³/cell
total magnetic moment	0.00	μB/f.u.
crystal system	tetragonal


three) Entry from the Alexandria database: a geometry-optimized ZnCu2Te2 structure (GGA-PBE).

a b c (Å): 7.588 7.588 3.685
angles (deg): 90.00 90.00 90.00
Fractional positions:
Zn 0.000 0.000 0.000
Zn 0.500 0.500 0.000
Te 0.310 0.810 0.000
Te 0.810 0.690 0.000
Te 0.690 0.190 0.000
Te 0.190 0.310 0.000
Cu 0.115 0.615 0.500
Cu 0.615 0.885 0.500
Cu 0.885 0.385 0.500
Cu 0.385 0.115 0.500

Results
density	7.01	g/cm³
volume	212.2	Å³/cell
total magnetic moment	0.00	μB/f.u.
crystal system	tetragonal


Decreasing stability: one), two), three)


one) Entry from the Alexandria database: a geometry-optimized ZrCuTe3 structure (GGA-PBE).

a b c (Å): 4.012 7.312 12.455
angles (deg): 127.34 90.00 90.00
Fractional positions:
Zr 0.250 0.091 0.162
Zr 0.750 0.909 0.838
Cu 0.250 0.155 0.578
Cu 0.750 0.845 0.422
Te 0.250 0.265 0.007
Te 0.750 0.735 0.993
Te 0.250 0.906 0.317
Te 0.750 0.094 0.683
Te 0.250 0.581 0.658
Te 0.750 0.419 0.342

Results
density	6.15	g/cm³
volume	290.5	Å³/cell
total magnetic moment	0.00	μB/f.u.
crystal system	monoclinic


two) Entry from the Alexandria database: a geometry-optimized ZrCuTe3 structure (GGA-PBE).

a b c (Å): 5.567 5.567 5.567
angles (deg): 90.00 90.00 90.00
Fractional positions:
Te 0.000 0.500 0.000
Te 0.000 0.000 0.500
Te 0.500 0.000 0.000
Cu 0.500 0.500 0.500
Zr 0.000 0.000 0.000

Results
density	5.18	g/cm³
volume	172.5	Å³/cell
total magnetic moment	0.00	μB/f.u.
crystal system	cubic


three) Entry from the Alexandria database: a geometry-optimized ZrCuTe3 structure (GGA-PBE).

a b c (Å): 5.072 5.072 5.072
angles (deg): 90.00 90.00 90.00
Fractional positions:
Te 0.000 0.500 0.000
Te 0.000 0.000 0.500
Te 0.500 0.000 0.000
Cu 0.000 0.000 0.000
Zr 0.500 0.500 0.500

Results
density	6.84	g/cm³
volume	130.4	Å³/cell
total magnetic moment	0.48	μB/f.u.
crystal system	cubic


Decreasing stability: one), two), three)


one) Entry from the Alexandria database: a geometry-optimized ZrCuTe4 structure (GGA-PBE).

a b c (Å): 6.300 6.300 9.088
angles (deg): 90.00 90.00 103.75
Fractional positions:
Zr 0.403 0.403 0.750
Zr 0.597 0.597 0.250
Cu 0.983 0.983 0.750
Cu 0.017 0.017 0.250
Te 0.624 0.057 0.250
Te 0.376 0.943 0.750
Te 0.057 0.624 0.250
Te 0.943 0.376 0.750
Te 0.721 0.721 0.559
Te 0.279 0.279 0.059
Te 0.721 0.721 0.941
Te 0.279 0.279 0.441

Results
density	6.31	g/cm³
volume	350.3	Å³/cell
total magnetic moment	0.00	μB/f.u.
crystal system	orthorhombic


two) Entry from the Alexandria database: a geometry-optimized ZrCuTe4 structure (GGA-PBE).

a b c (Å): 6.180 6.180 6.180
angles (deg): 60.00 60.00 60.00
Fractional positions:
Zr 0.750 0.750 0.750
Cu 0.000 0.000 0.000
Te 0.875 0.375 0.375
Te 0.375 0.375 0.875
Te 0.375 0.875 0.375
Te 0.375 0.375 0.375

Results
density	6.62	g/cm³
volume	166.9	Å³/cell
total magnetic moment	1.11	μB/f.u.
crystal system	cubic


Decreasing stability: one), two)